! PBE-GGA TbNbSb, optimized geometry; values from VASP
&SYSTEM
  ibrav = 0, nat = 6, ntyp = 3
/
ATOMIC_SPECIES
Tb 158.93 Tb.upf
Nb 92.91 Nb.upf
Sb 121.76 Sb.upf
CELL_PARAMETERS angstrom
3.6216 0.0000 0.0000
0.0000 3.6216 0.0000
0.0000 0.0000 10.9237
ATOMIC_POSITIONS crystal
Tb 0.2500 0.2500 0.1138
Tb 0.7500 0.7500 0.8862
Nb 0.2500 0.2500 0.4316
Nb 0.7500 0.7500 0.5684
Sb 0.2500 0.2500 0.7014
Sb 0.7500 0.7500 0.2986
! SG: P4/nmm
! ΔE_f (raw) (eV per atom): -0.351
! Crystal system: tetragonal
! VASP energy (eV per cell): -39.75